Entry 1:
The following is a DFT calculation (PBE) of AcY3P after structural relaxation.

The space group is Pm-3m (No. 221) and the conventional cell measures 5.461, 5.461 and 5.461 Å, with angles of 90.00, 90.00 and 90.00 degrees. The asymmetric unit holds Ac at (0.000, 0.000, 0.000), Y at (0.000, 0.500, 0.500) and P at (0.500, 0.500, 0.500).

For the density of states at the Fermi level, the calculation gives 9.52 states/eV/f.u. The calculation puts the formation energy at -0.460 eV per atom. The value obtained for the total magnetization is 0.0 μB/f.u. For the calculated total energy, the calculation gives -31.2 eV per cell. The crystal system is cubic.


Entry 2:
The following is a DFT calculation (PBE) of AcZn2P after structural relaxation.

The space group is P4/mmm (No. 123) and the conventional cell measures 4.315, 4.315 and 5.132 Å, with angles of 90.00, 90.00 and 90.00 degrees. The asymmetric unit holds Ac at (0.000, 0.000, 0.000), Zn at (0.000, 0.500, 0.500) and P at (0.500, 0.500, 0.000).

For the density of states at the Fermi level, the calculation gives 1.74 states/eV/f.u. The calculation puts the formation energy at -0.368 eV per atom. The value obtained for the total magnetization is 0.0 μB/f.u. For the calculated total energy, the calculation gives -13.5 eV per cell. The crystal system is tetragonal.


Entry 3:
The following is a DFT calculation (PBE) of AcZn3P3 after structural relaxation.

The space group is P6_3/m (No. 176) and the conventional cell measures 9.6997, 9.6997 and 4.0501 Å, with angles of 90.00, 90.00 and 120.00 degrees. The asymmetric unit holds Ac at (0.3333, 0.6667, 0.2500), Zn at (0.0371, 0.3444, 0.7500) and P at (0.1045, 0.6942, 0.7500).

The calculation puts the formation energy at -0.580 eV per atom. The value obtained for the total magnetization is 0.0 μB/f.u. For the calculated total energy, the calculation gives -56.4 eV per cell. The crystal system is hexagonal.


Entry 4:
The following is a DFT calculation (PBE) of Ac3ZnP after structural relaxation.

The space group is Pm-3m (No. 221) and the conventional cell measures 5.830, 5.830 and 5.830 Å, with angles of 90.00, 90.00 and 90.00 degrees. The asymmetric unit holds Ac at (0.000, 0.000, 0.500), Zn at (0.500, 0.500, 0.500) and P at (0.000, 0.000, 0.000).

For the density of states at the Fermi level, the calculation gives 6.78 states/eV/f.u. The calculation puts the formation energy at -0.313 eV per atom. The value obtained for the total magnetization is 0.0 μB/f.u. For the calculated total energy, the calculation gives -20.6 eV per cell. The crystal system is cubic.


What did the second record say?
The following is a DFT calculation (PBE) of AcZn2P after structural relaxation.

The space group is P4/mmm (No. 123) and the conventional cell measures 4.315, 4.315 and 5.132 Å, with angles of 90.00, 90.00 and 90.00 degrees. The asymmetric unit holds Ac at (0.000, 0.000, 0.000), Zn at (0.000, 0.500, 0.500) and P at (0.500, 0.500, 0.000).

For the density of states at the Fermi level, the calculation gives 1.74 states/eV/f.u. The calculation puts the formation energy at -0.368 eV per atom. The value obtained for the total magnetization is 0.0 μB/f.u. For the calculated total energy, the calculation gives -13.5 eV per cell. The crystal system is tetragonal.


What did the fourth record say?
The following is a DFT calculation (PBE) of Ac3ZnP after structural relaxation.

The space group is Pm-3m (No. 221) and the conventional cell measures 5.830, 5.830 and 5.830 Å, with angles of 90.00, 90.00 and 90.00 degrees. The asymmetric unit holds Ac at (0.000, 0.000, 0.500), Zn at (0.500, 0.500, 0.500) and P at (0.000, 0.000, 0.000).

For the density of states at the Fermi level, the calculation gives 6.78 states/eV/f.u. The calculation puts the formation energy at -0.313 eV per atom. The value obtained for the total magnetization is 0.0 μB/f.u. For the calculated total energy, the calculation gives -20.6 eV per cell. The crystal system is cubic.